RbHgSe (PBE, relaxed); symmetry = P1; formation energy (no corrections) = -15.8 kcal/mol of atoms; E_tot = -2.27 eV/atom; relative energy among the computed polymorphs = 0 meV per atom
1.0
4.940 0.000 0.000
0.001 4.953 0.000
0.044 0.062 11.460
Rb Hg Se
2 2 2
Direct
0.000 0.000 0.000 Rb
0.004 0.992 0.521 Rb
0.502 0.504 0.761 Hg
0.508 0.346 0.261 Hg
0.500 0.501 0.977 Se
0.504 0.492 0.544 Se



Rb2Hg3Se4 (PBE, relaxed); symmetry = C2/c; formation energy (no corrections) = -13.1 kcal/mol of atoms; E_tot = -2.43 eV/atom; relative energy among the computed polymorphs = 20 meV per atom
1.0
5.278 -8.996 0.000
5.278 8.996 0.000
-0.206 0.000 7.591
Rb Hg Se
4 6 8
Direct
0.073 0.270 0.395 Rb
0.270 0.073 0.895 Rb
0.730 0.927 0.105 Rb
0.927 0.730 0.605 Rb
0.204 0.796 0.250 Hg
0.212 0.530 0.927 Hg
0.470 0.788 0.573 Hg
0.530 0.212 0.427 Hg
0.788 0.470 0.073 Hg
0.796 0.204 0.750 Hg
0.063 0.257 0.899 Se
0.201 0.626 0.513 Se
0.257 0.063 0.399 Se
0.374 0.799 0.987 Se
0.626 0.201 0.013 Se
0.743 0.937 0.601 Se
0.799 0.374 0.487 Se
0.937 0.743 0.101 Se



RbHg2Se (PBE, relaxed); symmetry = Imm2; formation energy (no corrections) = -10.5 kcal/mol of atoms; E_tot = -1.72 eV/atom
1.0
-2.214 2.575 6.053
2.214 -2.575 6.053
2.214 2.575 -6.053
Rb Hg Se
1 2 1
Direct
0.000 0.000 0.000 Rb
0.337 0.337 0.000 Hg
0.724 0.224 0.500 Hg
0.576 0.576 0.000 Se



RbHg2Se (PBE, relaxed); symmetry = Cmmm; formation energy (no corrections) = -8.9 kcal/mol of atoms; E_tot = -1.65 eV/atom
1.0
2.754 -5.891 0.000
2.754 5.891 0.000
0.000 0.000 4.184
Rb Hg Se
1 2 1
Direct
0.000 0.000 0.000 Rb
0.312 0.688 0.000 Hg
0.688 0.312 0.000 Hg
0.500 0.500 0.500 Se



Repeat the second record exactly.
Rb2Hg3Se4 (PBE, relaxed); symmetry = C2/c; formation energy (no corrections) = -13.1 kcal/mol of atoms; E_tot = -2.43 eV/atom; relative energy among the computed polymorphs = 20 meV per atom
1.0
5.278 -8.996 0.000
5.278 8.996 0.000
-0.206 0.000 7.591
Rb Hg Se
4 6 8
Direct
0.073 0.270 0.395 Rb
0.270 0.073 0.895 Rb
0.730 0.927 0.105 Rb
0.927 0.730 0.605 Rb
0.204 0.796 0.250 Hg
0.212 0.530 0.927 Hg
0.470 0.788 0.573 Hg
0.530 0.212 0.427 Hg
0.788 0.470 0.073 Hg
0.796 0.204 0.750 Hg
0.063 0.257 0.899 Se
0.201 0.626 0.513 Se
0.257 0.063 0.399 Se
0.374 0.799 0.987 Se
0.626 0.201 0.013 Se
0.743 0.937 0.601 Se
0.799 0.374 0.487 Se
0.937 0.743 0.101 Se



- Which formula does entry 2 have?
  Rb2Hg3Se4